1.
# PaReNi

A relaxed structure of PaReNi (PBE-GGA, the Open Quantum Materials Database).

Unit cell a=6.193 b=6.193 c=6.193 alpha=90.00 beta=90.00 gamma=90.00
Atoms (fractional coordinates):
Pa 0.000 0.000 0.000
Pa 0.000 0.500 0.500
Pa 0.500 0.000 0.500
Pa 0.500 0.500 0.000
Re 0.250 0.250 0.250
Re 0.250 0.750 0.750
Re 0.750 0.250 0.750
Re 0.750 0.750 0.250
Ni 0.250 0.250 0.750
Ni 0.250 0.750 0.250
Ni 0.750 0.250 0.250
Ni 0.750 0.750 0.750

Properties
Crystal system: cubic
Calculated total energy: -101.7 eV/cell
E above lowest polymorph: 458 meV per atom
Formation energy: 66.66 kJ per mole of atoms

---

2.
# Pa3NiS6

A relaxed structure of Pa3NiS6 (PBE-GGA, the Open Quantum Materials Database).

Unit cell a=8.359 b=8.359 c=6.245 alpha=90.00 beta=90.00 gamma=100.46
Atoms (fractional coordinates):
Pa 0.110 0.890 0.500
Pa 0.230 0.434 0.594
Pa 0.434 0.230 0.094
Pa 0.566 0.770 0.594
Pa 0.770 0.566 0.094
Pa 0.890 0.110 0.000
Ni 0.305 0.695 0.186
Ni 0.695 0.305 0.686
S 0.060 0.594 0.315
S 0.131 0.197 0.298
S 0.197 0.131 0.798
S 0.273 0.727 0.804
S 0.406 0.940 0.315
S 0.469 0.531 0.295
S 0.531 0.469 0.795
S 0.594 0.060 0.815
S 0.727 0.273 0.304
S 0.803 0.869 0.298
S 0.869 0.803 0.798
S 0.940 0.406 0.815

Properties
Crystal system: orthorhombic
Calculated total energy: -146.9 eV/cell

---

3.
# Pa2NiS4

A relaxed structure of Pa2NiS4 (PBE-GGA, the Open Quantum Materials Database).

Unit cell a=6.260 b=5.972 c=7.376 alpha=90.00 beta=107.11 gamma=90.00
Atoms (fractional coordinates):
Pa 0.230 0.250 0.056
Pa 0.237 0.250 0.561
Pa 0.763 0.750 0.439
Pa 0.770 0.750 0.944
Ni 0.237 0.750 0.810
Ni 0.763 0.250 0.190
S 0.019 0.511 0.256
S 0.019 0.989 0.256
S 0.431 0.750 0.110
S 0.433 0.750 0.608
S 0.567 0.250 0.392
S 0.569 0.250 0.890
S 0.981 0.011 0.744
S 0.981 0.489 0.744

Properties
Crystal system: monoclinic
Calculated total energy: -101.7 eV/cell

---

4.
# Sc2PaNi9

A relaxed structure of Sc2PaNi9 (PBE-GGA, the Open Quantum Materials Database).

Unit cell a=8.427 b=8.427 c=8.427 alpha=33.36 beta=33.36 gamma=33.36
Atoms (fractional coordinates):
Sc 0.142 0.142 0.142
Sc 0.858 0.858 0.858
Pa 0.000 0.000 0.000
Ni 0.082 0.586 0.586
Ni 0.334 0.334 0.334
Ni 0.414 0.414 0.918
Ni 0.414 0.918 0.414
Ni 0.500 0.500 0.500
Ni 0.586 0.082 0.586
Ni 0.586 0.586 0.082
Ni 0.666 0.666 0.666
Ni 0.918 0.414 0.414

Properties
Crystal system: trigonal
Calculated total energy: -78.0 eV/cell
Formation energy: -45.97 kJ per mole of atoms

---

What did we get for total magnetization? Answer: 0.01, 3.46, 0.02, 0.01 μB/cell, in the order shown.